No. 1
The following is a DFT calculation (PBE) of a geometry-optimized CaTcNi4 structure.

## Properties
Density in g/cm³: 7.43
Electronic total energy in eV per atom: -5.7783
Magnetization in Bohr magnetons per cell: 4.8
Formation enthalpy at 0 K in kJ/mol of formula units: 79

Lattice parameters (Å, degrees): 4.903 4.903 4.903 60.00 60.00 60.00
Sites, in units of the cell vectors:
1 Ca 0.000 0.000 0.000
2 Tc 0.750 0.750 0.750
3 Ni 0.375 0.375 0.375
4 Ni 0.375 0.375 0.874
5 Ni 0.375 0.874 0.375
6 Ni 0.874 0.375 0.375

No. 2
The following is a DFT calculation (PBE) of a geometry-optimized RbSiH6Au structure.

## Properties
Density in g/cm³: 3.86
Electronic total energy in eV per atom: -3.3875
Magnetization in Bohr magnetons per cell: 0.0

Lattice parameters (Å, degrees): 4.536 4.886 6.616 77.90 71.94 88.75
Sites, in units of the cell vectors:
1 Rb 0.000 0.000 0.000
2 Si 0.760 0.601 0.631
3 H 0.027 0.580 0.719
4 H 0.161 0.076 0.490
5 H 0.538 0.576 0.069
6 H 0.570 0.332 0.723
7 H 0.570 0.840 0.694
8 H 0.873 0.641 0.390
9 Au 0.349 0.330 0.283

What is the formula in the first record? CaTcNi4

density of number 1 (CaTcNi4)? 7.43 g/cm³

Please write out number 2 again, unchanged.
The following is a DFT calculation (PBE) of a geometry-optimized RbSiH6Au structure.

## Properties
Density in g/cm³: 3.86
Electronic total energy in eV per atom: -3.3875
Magnetization in Bohr magnetons per cell: 0.0

Lattice parameters (Å, degrees): 4.536 4.886 6.616 77.90 71.94 88.75
Sites, in units of the cell vectors:
1 Rb 0.000 0.000 0.000
2 Si 0.760 0.601 0.631
3 H 0.027 0.580 0.719
4 H 0.161 0.076 0.490
5 H 0.538 0.576 0.069
6 H 0.570 0.332 0.723
7 H 0.570 0.840 0.694
8 H 0.873 0.641 0.390
9 Au 0.349 0.330 0.283

Please write out number 2 again, unchanged.
The following is a DFT calculation (PBE) of a geometry-optimized RbSiH6Au structure.

## Properties
Density in g/cm³: 3.86
Electronic total energy in eV per atom: -3.3875
Magnetization in Bohr magnetons per cell: 0.0

Lattice parameters (Å, degrees): 4.536 4.886 6.616 77.90 71.94 88.75
Sites, in units of the cell vectors:
1 Rb 0.000 0.000 0.000
2 Si 0.760 0.601 0.631
3 H 0.027 0.580 0.719
4 H 0.161 0.076 0.490
5 H 0.538 0.576 0.069
6 H 0.570 0.332 0.723
7 H 0.570 0.840 0.694
8 H 0.873 0.641 0.390
9 Au 0.349 0.330 0.283